Entry from Alexandria: an optimized crystal structure of Zr2ZnCu (GGA-PBEsol).

The value obtained for the total energy is -24.88 eV per formula unit. The calculation puts the energy of formation from the pure elements at -0.196 eV per atom. Its total magnetic moment is 0.0 μB/f.u.

The space group is P4/mmm (No. 123) and the conventional cell measures 3.228, 3.228 and 6.643 Å, with angles of 90.00, 90.00 and 90.00 degrees. The inequivalent atoms are Zr at (0.000, 0.000, 0.245), Zn at (0.500, 0.500, 0.500) and Cu at (0.500, 0.500, 0.000).

=====

Entry from Alexandria: an optimized crystal structure of Y3Si12Ru4 (GGA-PBEsol).

The value obtained for the total energy is -143.77 eV per formula unit. As for the formation energy without anion corrections: -0.718 eV/atom. Its total magnetic moment is 0.0 μB/f.u.

The space group is Cmce (No. 64) and the conventional cell measures 18.373, 8.058 and 8.063 Å, with angles of 90.00, 90.00 and 90.00 degrees. The inequivalent atoms are Y at (0.000, 0.000, 0.000), Y at (0.250, 0.247, 0.250), Si at (0.000, 0.168, 0.333), Si at (0.117, 0.005, 0.729), Si at (0.117, 0.229, 0.506), Si at (0.205, 0.000, 0.500), Ru at (0.000, 0.126, 0.627) and Ru at (0.169, 0.000, 0.000).

=====

Entry from Alexandria: an optimized crystal structure of OsSe2BrN (GGA-PBEsol).

The value obtained for the total energy is -22.57 eV per formula unit. As for the formation energy without anion corrections: 1.549 eV/atom. Its total magnetic moment is 0.0 μB/f.u.

The space group is P4/mmm (No. 123) and the conventional cell measures 4.235, 4.235 and 4.322 Å, with angles of 90.00, 90.00 and 90.00 degrees. The inequivalent atoms are Os at (0.000, 0.000, 0.000), Se at (0.000, 0.500, 0.500), Br at (0.500, 0.500, 0.000) and N at (0.500, 0.500, 0.500).